# Sm2ThSc2 PBE optimized geometry
data_Sm2ThSc2
_symmetry_space_group_name_H-M 'C m c 21'
_symmetry_Int_Tables_number 36
_symmetry_space_group_name_Hall 'C 2c -2'
_cell_length_a 5.290
_cell_length_b 16.403
_cell_length_c 6.818
_cell_angle_alpha 90.00
_cell_angle_beta 90.00
_cell_angle_gamma 90.00
loop_
_atom_site_label
_atom_site_type_symbol
_atom_site_fract_x
_atom_site_fract_y
_atom_site_fract_z
Sm1 Sm 0.000 0.001 0.000
Sm2 Sm 0.000 0.202 0.482
Th1 Th 0.000 0.393 0.241
Sc1 Sc 0.000 0.199 0.985
Sc2 Sc 0.000 0.388 0.736
# Offset from the most stable computed form (eV per atom): 0.042
# Total moment (μB per cell): 0.00
# Formation enthalpy at 0 K (eV per formula unit): 0.4